Entry one
A relaxed LiH2Ru crystal. Source: Alexandria via LeMat-Bulk, functional PBE-GGA.

Lattice parameters (Å, degrees): 4.493 4.493 4.493 116.36 116.36 96.42
Atoms (fractional coordinates):
Li 0.000 0.000 0.000
Li 0.750 0.250 0.500
H 0.149 0.625 0.024
H 0.375 0.399 0.524
H 0.601 0.125 0.976
H 0.875 0.851 0.476
Ru 0.250 0.750 0.500
Ru 0.500 0.500 0.000

Calculated values
As for the total magnetization: 1.2 Bohr magnetons per cell. The calculated volume is 67.2 Å³/cell. The value obtained for the density of states at the Fermi level is 4.3 states/eV/cell.

---

Entry two
A relaxed LiH2Ru crystal. Source: Alexandria via LeMat-Bulk, functional PBE-GGA.

Lattice parameters (Å, degrees): 3.427 3.427 3.427 60.00 60.00 60.00
Atoms (fractional coordinates):
Li 0.000 0.000 0.000
H 0.250 0.250 0.250
H 0.750 0.750 0.750
Ru 0.500 0.500 0.500

Calculated values
As for the total magnetization: 0.0 Bohr magnetons per cell. The calculated volume is 28.5 Å³/cell. The value obtained for the density of states at the Fermi level is 1.6 states/eV/cell.

---

entry one ends up most stable, edging out the next structure by 254 meV/atom.

---

Entry one
A relaxed LiY2HRu crystal. Source: Alexandria via LeMat-Bulk, functional PBE-GGA.

Lattice parameters (Å, degrees): 4.847 4.847 3.613 90.00 90.00 90.00
Atoms (fractional coordinates):
Li 0.000 0.000 0.000
Y 0.000 0.500 0.500
Y 0.500 0.000 0.500
H 0.000 0.000 0.500
Ru 0.500 0.500 0.000

Calculated values
As for the total magnetization: 0.0 Bohr magnetons per cell. The calculated volume is 84.9 Å³/cell. The value obtained for the density of states at the Fermi level is 3.1 states/eV/cell.

---

Entry two
A relaxed LiY2HRu crystal. Source: Alexandria via LeMat-Bulk, functional PBE-GGA.

Lattice parameters (Å, degrees): 4.949 4.949 3.643 90.00 90.00 90.00
Atoms (fractional coordinates):
Li 0.000 0.000 0.000
Y 0.000 0.500 0.500
Y 0.500 0.000 0.500
H 0.500 0.500 0.500
Ru 0.500 0.500 0.000

Calculated values
As for the total magnetization: 0.0 Bohr magnetons per cell. The calculated volume is 89.2 Å³/cell. The value obtained for the density of states at the Fermi level is 4.8 states/eV/cell.

---

entry one ends up most stable, edging out the next structure by 41 meV/atom.

---

Entry one
A relaxed LiH3S crystal. Source: Alexandria via LeMat-Bulk, functional PBE-GGA.

Lattice parameters (Å, degrees): 3.697 3.697 3.697 90.00 90.00 90.00
Atoms (fractional coordinates):
Li 0.000 0.000 0.000
H 0.000 0.500 0.500
H 0.500 0.000 0.500
H 0.500 0.500 0.000
S 0.500 0.500 0.500

Calculated values
As for the total magnetization: 0.0 Bohr magnetons per cell. The calculated volume is 50.5 Å³/cell. The value obtained for the density of states at the Fermi level is 0.9 states/eV/cell.

---

Entry two
A relaxed LiH3S crystal. Source: Alexandria via LeMat-Bulk, functional PBE-GGA.

Lattice parameters (Å, degrees): 3.345 3.345 3.345 90.00 90.00 90.00
Atoms (fractional coordinates):
Li 0.000 0.000 0.000
H 0.000 0.000 0.500
H 0.000 0.500 0.000
H 0.500 0.000 0.000
S 0.500 0.500 0.500

Calculated values
As for the total magnetization: 0.0 Bohr magnetons per cell. The calculated volume is 37.4 Å³/cell. The value obtained for the density of states at the Fermi level is 1.0 states/eV/cell.

---

entry one ends up most stable, edging out the next structure by 431 meV/atom.

---

Entry one
A relaxed Li3HS crystal. Source: Alexandria via LeMat-Bulk, functional PBE-GGA.

Lattice parameters (Å, degrees): 6.537 5.405 8.091 90.00 108.06 90.00
Atoms (fractional coordinates):
Li 0.003 0.006 0.335
Li 0.003 0.494 0.835
Li 0.307 0.019 0.072
Li 0.307 0.481 0.572
Li 0.372 0.511 0.099
Li 0.372 0.989 0.599
Li 0.628 0.011 0.401
Li 0.628 0.489 0.901
Li 0.693 0.519 0.428
Li 0.693 0.981 0.928
Li 0.997 0.506 0.165
Li 0.997 0.994 0.665
H 0.137 0.198 0.537
H 0.137 0.302 0.037
H 0.863 0.698 0.963
H 0.863 0.802 0.463
S 0.317 0.748 0.830
S 0.317 0.752 0.330
S 0.683 0.248 0.670
S 0.683 0.252 0.170

Calculated values
As for the total magnetization: 0.0 Bohr magnetons per cell. The calculated volume is 271.8 Å³/cell. The value obtained for the density of states at the Fermi level is 0.0 states/eV/cell.

---

Entry two
A relaxed Li3HS crystal. Source: Alexandria via LeMat-Bulk, functional PBE-GGA.

Lattice parameters (Å, degrees): 3.796 3.796 3.796 90.00 90.00 90.00
Atoms (fractional coordinates):
Li 0.000 0.000 0.500
Li 0.000 0.500 0.000
Li 0.500 0.000 0.000
H 0.000 0.000 0.000
S 0.500 0.500 0.500

Calculated values
As for the total magnetization: 0.0 Bohr magnetons per cell. The calculated volume is 54.7 Å³/cell. The value obtained for the density of states at the Fermi level is 0.0 states/eV/cell.

---

entry two ends up most stable, edging out the next structure by 16 meV/atom.